Material: MgBe2Al
Method: DFT, PBE-GGA
State: optimized geometry

Values from the calculation:
Formation enthalpy at 0 K   0.094 eV per atom

a = 3.6404 Å, b = 3.6404 Å, c = 16.8638 Å
α = 90.00°, β = 90.00°, γ = 90.00°
Positions (direct):
Be 0.0000 0.0000 0.0646
Be 0.0000 0.0000 0.9354
Be 0.5000 0.5000 0.5646
Be 0.5000 0.5000 0.4354
Be 0.0000 0.5000 0.0000
Be 0.5000 0.0000 0.0000
Be 0.5000 0.0000 0.5000
Be 0.0000 0.5000 0.5000
Mg 0.0000 0.0000 0.3843
Mg 0.0000 0.0000 0.6157
Mg 0.5000 0.5000 0.8843
Mg 0.5000 0.5000 0.1157
Al 0.0000 0.0000 0.7871
Al 0.0000 0.0000 0.2129
Al 0.5000 0.5000 0.2871
Al 0.5000 0.5000 0.7129